1.
Entry from Alexandria via LeMat-Bulk: CaN after structural relaxation (PBE).

abc: 5.4502 5.4502 5.4502
angles: 90.00 90.00 90.00
Closest atoms and distances in Å follow each position.
Space group F-43m (No. 216)
Inequivalent atoms, fractional coordinates:
Ca  0.0000  0.0000  0.0000  4 N 2.36
N  0.2500  0.2500  0.2500  4 Ca 2.36

- Formation energy without anion corrections: -0.010 eV/atom
- D(E_F): 13.74 states/eV/cell
- Total magnetization: 0.50 μB/atom

***

2.
Entry from Alexandria via LeMat-Bulk: CaN4 after structural relaxation (PBE).

abc: 9.8030 3.2327 4.2554
angles: 90.00 90.28 90.00
Closest atoms and distances in Å follow each position.
Space group C2/m (No. 12)
Inequivalent atoms, fractional coordinates:
Ca  0.0000  0.0000  0.0000  8 N 2.59-2.60
N  0.1342  0.5000  0.3628  1 N 1.17
N  0.1347  0.5000  0.6383  1 N 1.17

- Distance to the lowest polymorph of the same formula: 0.000 eV/atom
- Formation energy without anion corrections: -0.170 eV/atom
- D(E_F): 4.62 states/eV/cell
- Total magnetization: 0.00 μB/atom

***

3.
Entry from Alexandria via LeMat-Bulk: CaN after structural relaxation (PBE).

abc: 3.4313 3.4313 3.1182
angles: 90.00 90.00 120.00
Closest atoms and distances in Å follow each position.
Space group P-6m2 (No. 187)
Inequivalent atoms, fractional coordinates:
Ca  0.0000  0.0000  0.0000  6 N 2.52
N  0.6667  0.3333  0.5000  6 Ca 2.52

- Formation energy without anion corrections: -0.129 eV/atom
- D(E_F): 1.81 states/eV/cell
- Total magnetization: 0.50 μB/atom

***

4.
Entry from Alexandria via LeMat-Bulk: Ca3N2 after structural relaxation (PBE).

abc: 15.1505 3.7740 9.3626
angles: 90.00 100.63 90.00
Closest atoms and distances in Å follow each position.
Space group C2/m (No. 12)
Inequivalent atoms, fractional coordinates:
Ca  0.0000  0.0000  0.0000  6 N 2.67-2.82
Ca  0.0330  0.0000  0.6610  3 N 2.37-2.50
Ca  0.1248  0.5000  0.2792  3 N 2.36-2.59
Ca  0.1720  0.5000  0.9656  4 N 2.34-2.52
Ca  0.2112  0.5000  0.6216  4 N 2.40-2.63
N  0.0308  0.5000  0.8130  4 Ca 2.34-2.37
N  0.1409  0.0000  0.4886  4 Ca 2.40-2.63
N  0.1834  0.0000  0.1314  6 Ca 2.43-2.59

- Distance to the lowest polymorph of the same formula: 0.046 eV/atom
- Formation energy without anion corrections: -0.748 eV/atom
- Total magnetization: 0.00 μB/atom

***

5.
Entry from Alexandria via LeMat-Bulk: Ca3N2 after structural relaxation (PBE).

abc: 3.8513 3.8513 6.9353
angles: 90.00 90.00 120.00
Closest atoms and distances in Å follow each position.
Space group P-3m1 (No. 164)
Inequivalent atoms, fractional coordinates:
Ca  0.0000  0.0000  0.0000  6 N 2.73
Ca  0.3333  0.6667  0.3343  3 N 2.34
N  0.3333  0.6667  0.7707  3 Ca 2.34

- Distance to the lowest polymorph of the same formula: 0.092 eV/atom
- Formation energy without anion corrections: -0.702 eV/atom
- Total magnetization: 0.00 μB/atom

***

6.
Entry from Alexandria via LeMat-Bulk: Ca3N2 after structural relaxation (PBE).

abc: 3.8971 3.8971 13.2371
angles: 90.00 90.00 120.00
Closest atoms and distances in Å follow each position.
Space group P6_3/mmc (No. 194)
Inequivalent atoms, fractional coordinates:
Ca  0.0000  0.0000  0.2500  3 N 2.25
Ca  0.3333  0.6667  0.0861  3 N 2.52
N  0.0000  0.0000  0.0000  6 Ca 2.52
N  0.3333  0.6667  0.7500  3 Ca 2.25

- Distance to the lowest polymorph of the same formula: 0.194 eV/atom
- Formation energy without anion corrections: -0.600 eV/atom
- Total magnetization: 0.00 μB/atom

***

7.
Entry from Alexandria via LeMat-Bulk: CaN after structural relaxation (PBE).

abc: 9.7979 9.7979 3.8927
angles: 90.00 90.00 90.00
Closest atoms and distances in Å follow each position.
Space group P4/m (No. 83)
Inequivalent atoms, fractional coordinates:
Ca  0.0525  0.2833  0.0000  4 N 2.28-2.52
Ca  0.2227  0.6270  0.5000  2 N 2.26
N  0.0339  0.4451  0.5000  1 N 1.26
N  0.1830  0.7379  0.0000  4 Ca 2.26-2.32

- Formation energy without anion corrections: -0.451 eV/atom
- D(E_F): 8.09 states/eV/cell
- Total magnetization: 0.25 μB/atom

***

8.
Entry from Alexandria via LeMat-Bulk: CaN4 after structural relaxation (PBE).

abc: 5.0069 5.0069 5.0069
angles: 90.00 90.00 90.00
Closest atoms and distances in Å follow each position.
Space group Pm-3m (No. 221)
Inequivalent atoms, fractional coordinates:
Ca  0.0000  0.0000  0.0000  6 N 2.50
N  0.0000  0.0000  0.5000  2 Ca 2.50
N  0.5000  0.5000  0.5000  12 N 3.54

- Distance to the lowest polymorph of the same formula: 3.242 eV/atom
- Formation energy without anion corrections: 3.072 eV/atom
- D(E_F): 4.55 states/eV/cell
- Total magnetization: 2.00 μB/atom

***

What did the first record say?
Entry from Alexandria via LeMat-Bulk: CaN after structural relaxation (PBE).

abc: 5.4502 5.4502 5.4502
angles: 90.00 90.00 90.00
Closest atoms and distances in Å follow each position.
Space group F-43m (No. 216)
Inequivalent atoms, fractional coordinates:
Ca  0.0000  0.0000  0.0000  4 N 2.36
N  0.2500  0.2500  0.2500  4 Ca 2.36

- Formation energy without anion corrections: -0.010 eV/atom
- D(E_F): 13.74 states/eV/cell
- Total magnetization: 0.50 μB/atom